A relaxed Pa2Ni5Ge crystal. Source: the Alexandria database, functional PBE-GGA.

It has space group I4mm (No. 107), with a = 5.8560 Å, b = 5.8560 Å, c = 7.3510 Å, α = 90.00°, β = 90.00° and γ = 90.00°. The inequivalent atoms are Pa at (0.0000, 0.5000, 0.0000), Ni at (0.0000, 0.0000, 0.0033), Ni at (0.2102, 0.2102, 0.7446) and Ge at (0.0000, 0.0000, 0.3328).

The calculation puts the density of states at the Fermi level at 16.84 states/eV/cell. The calculation puts the total energy at -6.837 eV per atom. The formation energy from the elements is -0.273 eV per atom. As for the density: 10.911 g cm⁻³. The value obtained for the total moment is 0.00 μB/cell.